(1)
# CoPt3, relaxed, DFT GGA-PBEsol
# - Mass density: 19.14 g/cm³
# - E_form: -0.05 eV per atom
data_CoPt3
_cell_length_a 3.823
_cell_length_b 3.823
_cell_length_c 3.823
_cell_angle_alpha 90.00
_cell_angle_beta 90.00
_cell_angle_gamma 90.00
_symmetry_space_group_name_H-M 'P m -3 m'
_symmetry_Int_Tables_number 221
_symmetry_space_group_name_Hall '-P 4 2 3'
loop_
_atom_site_label
_atom_site_fract_x
_atom_site_fract_y
_atom_site_fract_z
Co1 0.000 0.000 0.000
Pt1 0.000 0.500 0.500

***

(2)
# CoPt, relaxed, DFT GGA-PBEsol
# - Mass density: 16.19 g/cm³
# - E_form: 0.00 eV per atom
data_CoPt
_cell_length_a 2.669
_cell_length_b 4.313
_cell_length_c 4.525
_cell_angle_alpha 90.00
_cell_angle_beta 90.00
_cell_angle_gamma 90.00
_symmetry_space_group_name_H-M 'P m m n'
_symmetry_Int_Tables_number 59
loop_
_symmetry_equiv_pos_as_xyz
'x,y,z'
'-x,-y,-z'
'-x+1/2,-y+1/2,z'
'x+1/2,y+1/2,-z'
'x+1/2,-y,-z'
'-x+1/2,y,z'
'-x,y+1/2,-z'
'x,-y+1/2,z'
loop_
_atom_site_label
_atom_site_fract_x
_atom_site_fract_y
_atom_site_fract_z
Co1 0.250 0.250 0.086
Pt1 0.250 0.750 0.397

***

(3)
# CoPt2, relaxed, DFT GGA-PBEsol
# - Mass density: 18.11 g/cm³
# - E_form: -0.04 eV per atom
data_CoPt2
_cell_length_a 2.6961
_cell_length_b 2.6961
_cell_length_c 6.5409
_cell_angle_alpha 90.00
_cell_angle_beta 90.00
_cell_angle_gamma 120.00
_symmetry_space_group_name_H-M 'P -3 m 1'
_symmetry_Int_Tables_number 164
_symmetry_space_group_name_Hall '-P 3 2"'
loop_
_atom_site_label
_atom_site_fract_x
_atom_site_fract_y
_atom_site_fract_z
Co1 0.0000 0.0000 0.0000
Pt1 0.3333 0.6667 0.6840

***

(4)
# Co5Pt, relaxed, DFT GGA-PBEsol
# - Mass density: 12.04 g/cm³
# - E_form: 0.02 eV per atom
data_Co5Pt
_cell_length_a 2.571
_cell_length_b 2.571
_cell_length_c 10.223
_cell_angle_alpha 90.00
_cell_angle_beta 90.00
_cell_angle_gamma 90.00
_symmetry_space_group_name_H-M 'P 4/m m m'
_symmetry_Int_Tables_number 123
_symmetry_space_group_name_Hall '-P 4 2'
loop_
_atom_site_label
_atom_site_fract_x
_atom_site_fract_y
_atom_site_fract_z
Co1 0.000 0.000 0.000
Co2 0.000 0.000 0.315
Co3 0.500 0.500 0.158
Pt1 0.500 0.500 0.500

***

(5)
# Co3Pt, relaxed, DFT GGA-PBEsol
# - Mass density: 13.25 g/cm³
# - E_form: -0.08 eV per atom
data_Co3Pt
_cell_length_a 5.1384
_cell_length_b 5.1384
_cell_length_c 4.0751
_cell_angle_alpha 90.00
_cell_angle_beta 90.00
_cell_angle_gamma 120.00
_symmetry_space_group_name_H-M 'P 63/m m c'
_symmetry_Int_Tables_number 194
_symmetry_space_group_name_Hall '-P 6c 2c'
loop_
_atom_site_label
_atom_site_fract_x
_atom_site_fract_y
_atom_site_fract_z
Co1 0.1582 0.3164 0.2500
Pt1 0.3333 0.6667 0.7500

***

(6)
# Co3Pt, relaxed, DFT GGA-PBEsol
# - Mass density: 13.22 g/cm³
# - E_form: 0.00 eV per atom
data_Co3Pt
_cell_length_a 2.598
_cell_length_b 2.598
_cell_length_c 6.921
_cell_angle_alpha 90.00
_cell_angle_beta 90.00
_cell_angle_gamma 90.00
_symmetry_space_group_name_H-M 'P 4/m m m'
_symmetry_Int_Tables_number 123
_symmetry_space_group_name_Hall '-P 4 2'
loop_
_atom_site_label
_atom_site_fract_x
_atom_site_fract_y
_atom_site_fract_z
Co1 0.000 0.000 0.000
Co2 0.500 0.500 0.229
Pt1 0.000 0.000 0.500

***

(7)
# CoRe2Pt, relaxed, DFT GGA-PBEsol
# - Mass density: 19.17 g/cm³
# - E_form: -0.02 eV per atom
# - ΔE to the lowest computed polymorph: 0.0 kJ per mole of atoms
data_CoRe2Pt
_cell_length_a 2.650
_cell_length_b 3.795
_cell_length_c 5.396
_cell_angle_alpha 90.00
_cell_angle_beta 90.00
_cell_angle_gamma 90.00
_symmetry_space_group_name_H-M 'P m m 2'
_symmetry_Int_Tables_number 25
loop_
_symmetry_equiv_pos_as_xyz
'x,y,z'
'-x,-y,z'
'-x,y,z'
'x,-y,z'
loop_
_atom_site_label
_atom_site_fract_x
_atom_site_fract_y
_atom_site_fract_z
Co1 0.000 0.000 0.000
Re1 0.000 0.000 0.517
Re2 0.500 0.500 0.777
Pt1 0.500 0.500 0.254

***

(8)
# CoRePt2, relaxed, DFT GGA-PBEsol
# - Mass density: 19.09 g/cm³
# - E_form: -0.01 eV per atom
# - ΔE to the lowest computed polymorph: 6.9 kJ per mole of atoms
data_CoRePt2
_cell_length_a 2.6995
_cell_length_b 2.6995
_cell_length_c 26.2701
_cell_angle_alpha 90.00
_cell_angle_beta 90.00
_cell_angle_gamma 120.00
_symmetry_space_group_name_H-M 'R 3 m'
_symmetry_Int_Tables_number 160
_symmetry_space_group_name_Hall 'R 3 -2"'
loop_
_atom_site_label
_atom_site_fract_x
_atom_site_fract_y
_atom_site_fract_z
Co1 0.0000 0.0000 0.0000
Re1 0.0000 0.0000 0.7423
Pt1 0.0000 0.0000 0.2528
Pt2 0.0000 0.0000 0.4951

***

Taking the records one at a time from the top gives DOS at the Fermi energy values of 5.34; 1.89; 3.14; 6.82; 2.27; 4.56; 3.97; 4.16 states/eV/f.u..
Taking the records one at a time from the top gives total energy values of -7.207; -7.350; -7.266; -7.587; -7.628; -7.543; -10.358; -8.763 eV per atom.